(1)
ZrMnBr2: relaxed, PBE.

Values from the calculation:
* DFT total energy: -5.2144 eV/atom
* uncorrected formation energy: 0.052 eV/atom
* size of the total moment: 7.6 μB/cell
* E above lowest polymorph: 609.2 meV/atom

Unit cell a=4.5601 b=4.5601 c=7.8288 alpha=90.00 beta=90.00 gamma=90.00
With the nearest neighbours (Å) after each atom.
Space group I4/mmm (No. 139)
Asymmetric unit:
Zr (0.0000, 0.0000, 0.0000) (multiplicity 2)  8 Br 3.00, 4 Mn 3.22
Mn (0.0000, 0.0000, 0.5000) (multiplicity 2)  8 Br 3.00, 4 Zr 3.22
Br (0.0000, 0.5000, 0.2500) (multiplicity 4)  4 Zr 3.00, 4 Mn 3.00, 4 Br 3.22

=====

(2)
Zr2MnBr: relaxed, PBE.

Values from the calculation:
* DFT total energy: -6.5024 eV/atom
* uncorrected formation energy: 0.482 eV/atom
* size of the total moment: 0.0 μB/cell
* E above lowest polymorph: 796.9 meV/atom

Unit cell a=5.8578 b=5.8578 c=12.1684 alpha=90.00 beta=90.00 gamma=90.00
With the nearest neighbours (Å) after each atom.
Space group I-42d (No. 122)
Asymmetric unit:
Zr (0.1717, 0.2500, 0.1250) (multiplicity 8)  2 Mn 2.34
Mn (0.0000, 0.0000, 0.0000) (multiplicity 4)  4 Zr 2.34
Br (0.0000, 0.0000, 0.5000) (multiplicity 4)  4 Zr 2.86

=====

(3)
Zr2MnBr: relaxed, PBE.

Values from the calculation:
* DFT total energy: -6.9063 eV/atom
* uncorrected formation energy: 0.078 eV/atom
* size of the total moment: 5.1 μB/cell
* E above lowest polymorph: 393.0 meV/atom

Unit cell a=6.2711 b=7.8152 c=3.1687 alpha=90.00 beta=90.00 gamma=90.00
With the nearest neighbours (Å) after each atom.
Space group Cmmm (No. 65)
Asymmetric unit:
Zr (0.2500, 0.2500, 0.0000) (multiplicity 4)  4 Mn 2.96, 4 Br 2.96, 4 Zr 3.14-3.17
Mn (0.0000, 0.0000, 0.5000) (multiplicity 2)  8 Zr 2.96, 2 Br 3.14, 2 Mn 3.17
Br (0.0000, 0.5000, 0.5000) (multiplicity 2)  8 Zr 2.96, 2 Mn 3.14, 2 Br 3.17

=====

(4)
ZrMnBr2: relaxed, PBE.

Values from the calculation:
* DFT total energy: -5.1203 eV/atom
* uncorrected formation energy: 0.146 eV/atom
* size of the total moment: 5.0 μB/cell
* E above lowest polymorph: 703.3 meV/atom

Unit cell a=3.9506 b=3.9506 c=11.0767 alpha=90.00 beta=90.00 gamma=90.00
With the nearest neighbours (Å) after each atom.
Space group I-4m2 (No. 119)
Asymmetric unit:
Zr (0.0000, 0.0000, 0.0000) (multiplicity 2)  4 Br 2.79
Mn (0.0000, 0.5000, 0.2500) (multiplicity 2)  4 Br 2.79
Br (0.0000, 0.0000, 0.5000) (multiplicity 2)  4 Zr 2.79
Br (0.0000, 0.5000, 0.7500) (multiplicity 2)  4 Mn 2.79

=====

(5)
ZrMnBr2: relaxed, PBE.

Values from the calculation:
* DFT total energy: -5.7232 eV/atom
* uncorrected formation energy: -0.457 eV/atom
* size of the total moment: 4.1 μB/cell
* E above lowest polymorph: 100.4 meV/atom

Unit cell a=3.3986 b=3.3986 c=8.4707 alpha=90.00 beta=90.00 gamma=90.00
With the nearest neighbours (Å) after each atom.
Space group P4mm (No. 99)
Asymmetric unit:
Zr (0.0000, 0.0000, 0.0000) (multiplicity 1)  4 Mn 2.96, 5 Br 3.02
Mn (0.5000, 0.5000, 0.7956) (multiplicity 1)  4 Br 2.72, 4 Zr 2.96
Br (0.0000, 0.0000, 0.6439) (multiplicity 1)  4 Mn 2.72, 1 Zr 3.02
Br (0.5000, 0.5000, 0.2160) (multiplicity 1)  4 Zr 3.02

=====

(6)
Zr2MnBr: relaxed, PBE.

Values from the calculation:
* DFT total energy: -7.2191 eV/atom
* uncorrected formation energy: -0.234 eV/atom
* size of the total moment: 0.0 μB/cell
* E above lowest polymorph: 80.1 meV/atom

Unit cell a=3.1681 b=3.1681 c=7.8533 alpha=90.00 beta=90.00 gamma=90.00
With the nearest neighbours (Å) after each atom.
Space group P4/mmm (No. 123)
Asymmetric unit:
Zr (0.0000, 0.0000, 0.1999) (multiplicity 2)  4 Mn 2.74
Mn (0.5000, 0.5000, 0.0000) (multiplicity 1)  8 Zr 2.74
Br (0.5000, 0.5000, 0.5000) (multiplicity 1)  4 Br 3.17, 8 Zr 3.25

=====

(7)
ZrMnBr2: relaxed, PBE.

Values from the calculation:
* DFT total energy: -5.6695 eV/atom
* uncorrected formation energy: -0.404 eV/atom
* size of the total moment: 3.7 μB/cell
* E above lowest polymorph: 154.1 meV/atom

Unit cell a=15.3588 b=3.4684 c=4.1714 alpha=90.00 beta=92.06 gamma=90.00
With the nearest neighbours (Å) after each atom.
Space group C2/m (No. 12)
Asymmetric unit:
Zr (0.0000, 0.0000, 0.0000) (multiplicity 2)  4 Mn 2.71, 4 Br 2.84
Mn (0.0000, 0.5000, 0.5000) (multiplicity 2)  2 Br 2.42
Br (0.1353, 0.5000, 0.2210) (multiplicity 4)  1 Mn 2.42

=====

(8)
ZrMnBr2: relaxed, PBE.

Values from the calculation:
* DFT total energy: -5.3249 eV/atom
* uncorrected formation energy: -0.059 eV/atom
* size of the total moment: 9.0 μB/cell
* E above lowest polymorph: 498.6 meV/atom

Unit cell a=3.2958 b=6.1311 c=10.0086 alpha=90.00 beta=90.00 gamma=90.00
With the nearest neighbours (Å) after each atom.
Space group Cmmm (No. 65)
Asymmetric unit:
Zr (0.0000, 0.0000, 0.0000) (multiplicity 2)  4 Br 2.74
Mn (0.0000, 0.0000, 0.5000) (multiplicity 2)  4 Br 3.26, 6 Mn 3.30-3.48
Br (0.0000, 0.5000, 0.2192) (multiplicity 4)  2 Zr 2.74